# CaHg2Br

An optimized crystal structure of CaHg2Br (GGA-PBE, the Alexandria database).

Calculated values
ΔE_f (raw): -468 meV/atom
polymorph energy (0 for the lowest one): 278 meV/atom
theoretical density: 7141 kg/m3

Unit cell a=8.606 b=8.606 c=8.606 alpha=27.65 beta=27.65 gamma=27.65
Fractional coordinates of all 4 atoms:
Ca (0.750, 0.750, 0.750)
Br (0.250, 0.250, 0.250)
Hg (0.499, 0.499, 0.499)
Hg (0.001, 0.001, 0.001)

---

# IrRu3

An optimized crystal structure of IrRu3 (GGA-PBE, the Alexandria database).

Calculated values
E_form: -0.038 eV/atom
theoretical density: 14657 kg/m3

Unit cell a=2.737 b=4.322 c=4.744 alpha=90.00 beta=90.00 gamma=90.00
Fractional coordinates of all 4 atoms:
Ru (0.000, 0.500, 0.335)
Ru (0.500, 0.500, 0.832)
Ru (0.500, 0.000, 0.500)
Ir (0.000, 0.000, 0.000)

---

# Pm3SnO6

An optimized crystal structure of Pm3SnO6 (GGA-PBE, the Alexandria database).

Calculated values
ΔE_f (raw): -2867 meV/atom
polymorph energy (0 for the lowest one): 43 meV/atom
theoretical density: 6942 kg/m3

Unit cell a=5.794 b=7.413 c=7.413 alpha=102.53 beta=90.00 gamma=90.00
Fractional coordinates of all 20 atoms:
O (0.700, 0.325, 0.355)
O (0.175, 0.103, 0.585)
O (0.637, 0.226, 0.774)
O (0.700, 0.645, 0.675)
O (0.200, 0.675, 0.645)
O (0.137, 0.774, 0.226)
O (0.675, 0.585, 0.103)
O (0.232, 0.018, 0.982)
O (0.200, 0.355, 0.325)
O (0.732, 0.982, 0.018)
O (0.675, 0.897, 0.415)
O (0.175, 0.415, 0.897)
Pm (0.978, 0.695, 0.910)
Pm (0.978, 0.090, 0.305)
Pm (0.478, 0.910, 0.695)
Pm (0.423, 0.399, 0.601)
Pm (0.478, 0.305, 0.090)
Pm (0.923, 0.601, 0.399)
Sn (0.488, 0.832, 0.168)
Sn (0.988, 0.168, 0.832)

---

# Sr2BeCo2

An optimized crystal structure of Sr2BeCo2 (GGA-PBE, the Alexandria database).

Calculated values
polymorph energy (0 for the lowest one): 41 meV/atom
E_form: 0.560 eV/atom
theoretical density: 4490 kg/m3

Unit cell a=3.450 b=3.450 c=9.701 alpha=79.76 beta=79.76 gamma=90.00
Fractional coordinates of all 5 atoms:
Be (0.000, 0.000, 0.000)
Co (0.250, 0.750, 0.500)
Co (0.750, 0.250, 0.500)
Sr (0.390, 0.390, 0.219)
Sr (0.610, 0.610, 0.781)

---

- Which of these has the lowest theoretical density?
  Sr2BeCo2

---

- What is the formula in the second record?
  IrRu3

---

- Look up the theoretical density of the first one.
  7141 kg/m3